1.
{"formula": "CsAgHg2H", "functional": "GGA-PBE", "state": "optimized geometry", "lattice": [[5.013, 0.000, 0.000], [0.000, 5.013, 0.000], [0.000, 0.000, 5.540]], "species": ["Cs", "Ag", "Hg", "Hg", "H"], "frac_coords": [[0.000, 0.000, 0.000], [0.500, 0.500, 0.000], [0.000, 0.500, 0.500], [0.500, 0.000, 0.500], [0.000, 0.000, 0.500]], "m_tot_mub_per_cell": 0.0, "energy_ev_per_atom": -1.260, "vol_a3_per_fu": 139}

2.
{"formula": "Cs2AgPb2F7", "functional": "GGA-PBE", "state": "optimized geometry", "lattice": [[3.129, -3.563, 0.000], [3.129, 3.563, 0.000], [-2.253, 0.000, 12.379]], "species": ["Cs", "Cs", "Ag", "Pb", "Pb", "F", "F", "F", "F", "F", "F", "F"], "frac_coords": [[0.206, 0.206, 0.374], [0.794, 0.794, 0.626], [0.000, 0.000, 0.000], [0.365, 0.365, 0.817], [0.635, 0.635, 0.183], [0.132, 0.749, 0.162], [0.251, 0.868, 0.838], [0.279, 0.279, 0.608], [0.500, 0.500, 0.000], [0.721, 0.721, 0.392], [0.749, 0.132, 0.162], [0.868, 0.251, 0.838]], "m_tot_mub_per_cell": 0.0, "energy_ev_per_atom": -4.283, "vol_a3_per_fu": 276}

3.
{"formula": "LiZrTc2", "functional": "GGA-PBE", "state": "optimized geometry", "lattice": [[-2.230, 2.230, 3.163], [2.230, -2.230, 3.163], [2.230, 2.230, -3.163]], "species": ["Li", "Zr", "Tc", "Tc"], "frac_coords": [[0.000, 0.000, 0.000], [0.750, 0.250, 0.500], [0.250, 0.750, 0.500], [0.500, 0.500, 0.000]], "formation_enthalpy_0k_ev_per_atom": 0.057, "m_tot_mub_per_cell": 0.0, "vol_a3_per_fu": 63}

4.
{"formula": "Tb4SmY2", "functional": "GGA-PBE", "state": "optimized geometry", "lattice": [[6.179, 0.000, 0.000], [0.000, 6.568, 0.000], [-2.817, 0.000, 11.188]], "species": ["Tb", "Tb", "Tb", "Tb", "Tb", "Tb", "Tb", "Tb", "Sm", "Sm", "Y", "Y", "Y", "Y"], "frac_coords": [[0.143, 0.007, 0.288], [0.143, 0.493, 0.288], [0.208, 0.250, 0.570], [0.346, 0.750, 0.844], [0.654, 0.250, 0.156], [0.792, 0.750, 0.430], [0.857, 0.507, 0.712], [0.857, 0.993, 0.712], [0.469, 0.750, 0.146], [0.531, 0.250, 0.854], [0.106, 0.250, 0.996], [0.354, 0.750, 0.556], [0.646, 0.250, 0.444], [0.894, 0.750, 0.004]], "formation_enthalpy_0k_ev_per_atom": 0.126, "m_tot_mub_per_cell": 0.0, "vol_a3_per_fu": 227}

5.
{"formula": "Rb3Ho2ErS6", "functional": "GGA-PBE", "state": "optimized geometry", "lattice": [[3.513, -6.085, 0.000], [3.513, 6.085, 0.000], [-2.342, 0.000, 7.684]], "species": ["Rb", "Rb", "Rb", "Ho", "Ho", "Er", "S", "S", "S", "S", "S", "S"], "frac_coords": [[0.000, 0.000, 0.000], [0.333, 0.667, 0.000], [0.667, 0.333, 0.000], [0.167, 0.833, 0.500], [0.833, 0.167, 0.500], [0.500, 0.500, 0.500], [0.104, 0.436, 0.309], [0.231, 0.231, 0.691], [0.436, 0.104, 0.309], [0.564, 0.896, 0.691], [0.769, 0.769, 0.309], [0.896, 0.564, 0.691]], "m_tot_mub_per_cell": 0.0, "energy_ev_per_atom": -5.304, "vol_a3_per_fu": 328}

6.
{"formula": "KBeSe", "functional": "GGA-PBE", "state": "optimized geometry", "lattice": [[4.694, 0.000, 0.000], [0.000, 4.930, 4.584], [0.000, -4.930, 4.584]], "species": ["K", "K", "Be", "Be", "Se", "Se"], "frac_coords": [[0.000, 0.249, 0.751], [0.000, 0.751, 0.249], [0.234, 0.765, 0.765], [0.766, 0.765, 0.765], [0.500, 0.566, 0.933], [0.500, 0.933, 0.566]], "m_tot_mub_per_cell": 0.0, "energy_ev_per_atom": -3.367, "vol_a3_per_fu": 106}

7.
{"formula": "V2Cr3Ga", "functional": "GGA-PBE", "state": "optimized geometry", "lattice": [[5.465, -3.085, 0.000], [5.465, 3.085, 0.000], [0.000, 0.000, 4.976]], "species": ["V", "V", "V", "V", "Cr", "Cr", "Cr", "Cr", "Cr", "Cr", "Ga", "Ga"], "frac_coords": [[0.204, 0.204, 0.000], [0.204, 0.204, 0.500], [0.796, 0.796, 0.000], [0.796, 0.796, 0.500], [0.114, 0.886, 0.750], [0.254, 0.498, 0.750], [0.498, 0.254, 0.250], [0.502, 0.746, 0.750], [0.746, 0.502, 0.250], [0.886, 0.114, 0.250], [0.276, 0.724, 0.250], [0.724, 0.276, 0.750]], "formation_enthalpy_0k_ev_per_atom": 0.474, "m_tot_mub_per_cell": 0.8, "vol_a3_per_fu": 84}

8.
{"formula": "NiGe2Bi", "functional": "GGA-PBE", "state": "optimized geometry", "lattice": [[1.653, 0.954, 9.075], [-1.653, 0.954, 9.075], [0.000, -1.908, 9.075]], "species": ["Ni", "Ge", "Ge", "Bi"], "frac_coords": [[0.000, 0.000, 0.000], [0.389, 0.389, 0.389], [0.611, 0.611, 0.611], [0.500, 0.500, 0.500]], "formation_enthalpy_0k_ev_per_atom": 0.084, "m_tot_mub_per_cell": 0.0, "vol_a3_per_fu": 86}

9.
{"formula": "PaAgS2", "functional": "GGA-PBE", "state": "optimized geometry", "lattice": [[0.000, 3.350, 3.350], [3.350, 0.000, 3.350], [3.350, 3.350, 0.000]], "species": ["Pa", "Ag", "S", "S"], "frac_coords": [[0.000, 0.000, 0.000], [0.500, 0.500, 0.500], [0.250, 0.250, 0.250], [0.750, 0.750, 0.750]], "m_tot_mub_per_cell": 0.2, "energy_ev_per_atom": -6.039, "vol_a3_per_fu": 75}

10.
{"formula": "Zr2TcSb2", "functional": "GGA-PBE", "state": "optimized geometry", "lattice": [[6.888, 0.000, 0.000], [0.000, 6.888, 0.000], [0.000, 0.000, 4.484]], "species": ["Zr", "Zr", "Zr", "Zr", "Tc", "Tc", "Sb", "Sb", "Sb", "Sb"], "frac_coords": [[0.161, 0.339, 0.000], [0.339, 0.839, 0.000], [0.661, 0.161, 0.000], [0.839, 0.661, 0.000], [0.000, 0.000, 0.500], [0.500, 0.500, 0.500], [0.149, 0.649, 0.500], [0.351, 0.149, 0.500], [0.649, 0.851, 0.500], [0.851, 0.351, 0.500]], "m_tot_mub_per_cell": 0.0, "energy_ev_per_atom": -7.434, "vol_a3_per_fu": 106}

11.
{"formula": "TlOs2ClF", "functional": "GGA-PBE", "state": "optimized geometry", "lattice": [[5.322, 0.000, 0.000], [0.000, 5.322, 0.000], [0.000, 0.000, 5.369]], "species": ["Tl", "Os", "Os", "Cl", "F"], "frac_coords": [[0.000, 0.000, 0.000], [0.000, 0.500, 0.000], [0.500, 0.000, 0.000], [0.000, 0.000, 0.500], [0.500, 0.500, 0.500]], "m_tot_mub_per_cell": 7.1, "energy_ev_per_atom": -3.555, "vol_a3_per_fu": 152}

12.
{"formula": "Cr4ReAu", "functional": "GGA-PBE", "state": "optimized geometry", "lattice": [[0.000, 3.392, 3.392], [3.392, 0.000, 3.392], [3.392, 3.392, 0.000]], "species": ["Cr", "Cr", "Cr", "Cr", "Re", "Au"], "frac_coords": [[0.376, 0.376, 0.376], [0.376, 0.376, 0.872], [0.376, 0.872, 0.376], [0.872, 0.376, 0.376], [0.000, 0.000, 0.000], [0.750, 0.750, 0.750]], "formation_enthalpy_0k_ev_per_atom": 0.144, "m_tot_mub_per_cell": 0.0, "vol_a3_per_fu": 78}